Record 1
DFT (GGA-PBEsol) results for crystalline CsS2Br2 at its relaxed geometry.

```
CsS2Br2
1.0
-1.5862 1.2234 -2.7556
-2.7097 -1.9437 0.6968
-2.5862 9.3708 7.7549
S Br Cs
2 2 1
Direct
0.7500 0.2500 0.5000
0.2500 0.7500 0.5000
0.3974 0.3974 0.7949
0.6026 0.6026 0.2051
0.0000 0.0000 0.0000
```

Summary:
The formation energy without anion corrections is -0.25 eV/atom. The density of states at the Fermi level comes out at 0.835 states/eV per atom.

Record 2
DFT (GGA-PBEsol) results for crystalline AlV3 at its relaxed geometry.

```
AlV3
1.0
4.7509 0.0000 0.0000
0.0000 4.7509 0.0000
0.0000 0.0000 4.7509
Al V
2 6
Direct
0.0000 0.0000 0.0000
0.5000 0.5000 0.5000
0.5000 0.2500 0.0000
0.0000 0.5000 0.7500
0.0000 0.5000 0.2500
0.2500 0.0000 0.5000
0.7500 0.0000 0.5000
0.5000 0.7500 0.0000
```

Summary:
Its total energy is -8.37 eV/atom. The density of states at the Fermi level comes out at 1.943 states/eV per atom.

Record 3
DFT (GGA-PBEsol) results for crystalline LiTlRh2 at its relaxed geometry.

```
LiTlRh2
1.0
2.8400 0.0000 0.0000
0.0000 3.8868 0.0000
0.0000 0.0000 5.5352
Rh Li Tl
2 1 1
Direct
0.5000 0.5000 0.2216
0.0000 0.0000 0.0027
0.5000 0.5000 0.7694
0.0000 0.0000 0.5063
```

Summary:
Its total energy is -5.17 eV/atom. The density of states at the Fermi level comes out at 1.249 states/eV per atom.

Record 4
DFT (GGA-PBEsol) results for crystalline MgCdAu at its relaxed geometry.

```
MgCdAu
1.0
3.5030 0.0737 0.0000
-0.0736 3.5030 0.0000
-1.7147 -1.7884 4.4948
Cd Mg Au
1 1 1
Direct
0.6649 0.6649 0.3299
0.3425 0.3425 0.6850
0.9926 0.9926 0.9851
```

Summary:
The density of states at the Fermi level comes out at 0.303 states/eV per atom. The offset from the most stable computed form comes out at 0.000 eV/atom.

Record 5
DFT (GGA-PBEsol) results for crystalline PrHfO4 at its relaxed geometry.

```
PrHfO4
1.0
-6.5974 -0.5672 -3.7284
-0.1282 -7.4747 1.3641
-5.2650 1.7422 9.0513
O Hf Pr
32 8 8
Direct
0.7523 0.2523 0.7512
0.2523 0.2477 0.0012
0.7540 0.2447 0.4681
0.7553 0.7540 0.2181
0.7460 0.7447 0.7843
0.0490 0.5491 0.7511
0.5271 0.0270 0.2511
0.2540 0.2553 0.2843
0.4509 0.0490 0.5011
0.2210 0.2790 0.5014
0.0269 0.0179 0.5008
0.9731 0.9821 0.0008
0.4731 0.5180 0.7515
0.7210 0.2210 0.2514
0.2447 0.2460 0.7181
0.2790 0.7790 0.7514
0.2553 0.7460 0.5343
0.7790 0.7210 0.0014
0.0270 0.4729 0.5011
0.2460 0.7553 0.9681
0.9821 0.0269 0.2508
0.5491 0.9510 0.0011
0.4729 0.9730 0.7511
0.5180 0.5269 0.0015
0.5269 0.4820 0.2515
0.0179 0.9731 0.7508
0.2477 0.7477 0.2512
0.9510 0.4509 0.2511
0.9730 0.5271 0.0011
0.4820 0.4731 0.5015
0.7447 0.2540 0.0343
0.7477 0.7523 0.5012
0.7608 0.0013 0.1252
0.5012 0.2608 0.3772
0.7392 0.5012 0.1272
0.2608 0.4988 0.6272
0.0013 0.2392 0.3752
0.9987 0.7608 0.8752
0.2392 0.9987 0.6252
0.4988 0.7392 0.8772
0.2492 0.9974 0.1245
0.0026 0.2492 0.8745
0.4974 0.7493 0.3778
0.7493 0.5026 0.6278
0.7508 0.0026 0.6245
0.9974 0.7508 0.3745
0.2507 0.4974 0.1278
0.5026 0.2507 0.8778
```

Summary:
The formation energy without anion corrections is -3.08 eV/atom. The density of states at the Fermi level comes out at 0.052 states/eV per atom.

Record 6
DFT (GGA-PBEsol) results for crystalline MoAs2Cl at its relaxed geometry.

```
MoAs2Cl
1.0
-0.4397 -2.7815 1.5364
4.6766 0.5581 0.5045
-1.7990 3.0439 3.1519
As Mo Cl
2 1 1
Direct
0.0000 0.5000 0.0000
0.0000 0.0000 0.5000
0.5000 0.5000 0.5000
0.5000 0.0000 0.0000
```

Summary:
The formation energy without anion corrections is 0.40 eV/atom. The density of states at the Fermi level comes out at 0.692 states/eV per atom. The offset from the most stable computed form comes out at 0.407 eV/atom.

Record 7
DFT (GGA-PBEsol) results for crystalline Li3Mn3O3F5 at its relaxed geometry.

```
Li3Mn3O3F5
1.0
5.7462 0.0000 0.0000
-2.8731 5.2814 -0.0157
0.0000 -3.2508 4.9879
Li Mn O F
3 3 3 5
Direct
0.3885 0.7770 0.6409
0.0102 0.0205 0.9862
0.7336 0.4671 0.2421
0.3852 0.2510 0.6361
0.8657 0.2510 0.6361
0.3752 0.7503 0.1265
0.6190 0.2379 0.8411
0.1483 0.2966 0.8578
0.6019 0.2038 0.3927
0.6157 0.7411 0.3829
0.1254 0.7411 0.3829
0.1348 0.7547 0.8617
0.1264 0.2527 0.4013
0.6200 0.7547 0.8617
```

Summary:
The formation energy without anion corrections is -2.24 eV/atom. The density of states at the Fermi level comes out at 0.234 states/eV per atom.

Record 8
DFT (GGA-PBEsol) results for crystalline Be2CuRh at its relaxed geometry.

```
Be2CuRh
1.0
-1.1912 -2.1231 2.8857
3.4579 0.1139 1.5112
-0.6932 2.3083 1.4121
Be Rh Cu
2 1 1
Direct
0.0000 0.0000 0.0000
0.5000 0.5000 0.0000
0.0000 0.5000 0.5000
0.5000 0.0000 0.5000
```

Summary:
Its total energy is -5.57 eV/atom. The density of states at the Fermi level comes out at 0.235 states/eV per atom.

no.,total magnetic moment (μB per formula unit)
1,0.00
2,0.51
3,0.00
4,0.00
5,1.03
6,0.00
7,13.01
8,0.00